A PBEsol-optimized structure of YCl3. Source: the Alexandria database, functional meta-GGA SCAN.

abc: 3.901 5.222 6.912
angles: 112.14 90.00 90.00
Positions (direct):
Y1 0.500 0.000 0.500
Cl1 0.000 0.137 0.775
Cl2 0.500 0.500 0.500
Cl3 0.000 0.863 0.225

Calculated values
**ΔE_f (raw)**: -2.516 eV per atom
**Symmetry**: Cmmm, No. 65


A PBEsol-optimized structure of YCl3. Source: the Alexandria database, functional meta-GGA SCAN.

abc: 4.805 4.805 4.805
angles: 60.00 60.00 60.00
Positions (direct):
Y1 0.000 0.000 0.000
Cl1 0.250 0.250 0.250
Cl2 0.500 0.500 0.500
Cl3 0.750 0.750 0.750

Calculated values
**ΔE_f (raw)**: -1.979 eV per atom
**Symmetry**: Fm-3m, No. 225


A PBEsol-optimized structure of Y4Cl. Source: the Alexandria database, functional meta-GGA SCAN.

abc: 5.666 5.666 5.666
angles: 109.47 109.47 109.47
Last column: magnetic moment on the atom in μB.
Positions (direct):
Cl1 0.000 0.000 0.000  -0.02
Y1 0.000 0.000 0.500  0.69
Y2 0.000 0.500 0.000  0.69
Y3 0.500 0.000 0.000  0.69
Y4 0.500 0.500 0.500  0.69

Calculated values
**ΔE_f (raw)**: 0.013 eV per atom
**Symmetry**: Im-3m, No. 229


A PBEsol-optimized structure of YZnCl. Source: the Alexandria database, functional meta-GGA SCAN.

abc: 3.679 4.613 4.613
angles: 120.00 90.00 90.00
Positions (direct):
Y1 0.000 0.333 0.667
Zn1 0.500 0.667 0.333
Cl1 0.000 0.000 0.000

Calculated values
**ΔE_f (raw)**: -0.748 eV per atom
**Symmetry**: P-6m2, No. 187


A PBEsol-optimized structure of YZnCl. Source: the Alexandria database, functional meta-GGA SCAN.

abc: 3.555 3.555 6.976
angles: 90.00 90.00 120.00
Positions (direct):
Y1 0.333 0.667 0.679
Zn1 0.667 0.333 0.384
Cl1 0.000 0.000 0.937

Calculated values
**ΔE_f (raw)**: -0.912 eV per atom
**Symmetry**: P3m1, No. 156


A PBEsol-optimized structure of Y4ZnCl. Source: the Alexandria database, functional meta-GGA SCAN.

abc: 6.246 6.246 6.246
angles: 60.00 60.00 60.00
Positions (direct):
Cl1 0.000 0.000 0.000
Y1 0.377 0.377 0.377
Y2 0.377 0.377 0.870
Y3 0.870 0.377 0.377
Y4 0.377 0.870 0.377
Zn1 0.750 0.750 0.750

Calculated values
**ΔE_f (raw)**: 0.418 eV per atom
**Symmetry**: F-43m, No. 216


A PBEsol-optimized structure of YZr3Cl. Source: the Alexandria database, functional meta-GGA SCAN.

abc: 5.189 5.189 5.189
angles: 90.00 90.00 90.00
Last column: magnetic moment on the atom in μB.
Positions (direct):
Y1 0.000 0.000 0.000  0.11
Zr1 0.000 0.500 0.000  0.39
Zr2 0.000 0.000 0.500  0.39
Zr3 0.500 0.000 0.000  0.39
Cl1 0.500 0.500 0.500  0.02

Calculated values
**ΔE_f (raw)**: 1.467 eV per atom
**Symmetry**: Pm-3m, No. 221


A PBEsol-optimized structure of YZr2Cl. Source: the Alexandria database, functional meta-GGA SCAN.

abc: 3.175 5.731 5.976
angles: 118.65 105.40 90.00
Positions (direct):
Y1 0.213 0.713 0.427
Zr1 0.017 0.017 0.034
Zr2 0.781 0.281 0.562
Cl1 0.488 0.488 0.977

Calculated values
**ΔE_f (raw)**: -0.178 eV per atom
**Symmetry**: Imm2, No. 44
**Energy above the lowest structure with this stoichiometry**: 0.00 eV per formula unit


A PBEsol-optimized structure of YZr2Cl. Source: the Alexandria database, functional meta-GGA SCAN.

abc: 3.258 5.348 5.433
angles: 90.00 90.00 90.00
Positions (direct):
Y1 0.500 0.500 0.500
Zr1 0.000 0.000 0.737
Zr2 0.000 0.000 0.263
Cl1 0.500 0.500 0.000

Calculated values
**ΔE_f (raw)**: -0.030 eV per atom
**Symmetry**: Pmmm, No. 47
**Energy above the lowest structure with this stoichiometry**: 0.59 eV per formula unit


A PBEsol-optimized structure of ZnCl. Source: the Alexandria database, functional meta-GGA SCAN.

abc: 4.740 4.740 4.740
angles: 60.00 60.00 60.00
Positions (direct):
Zn1 0.750 0.750 0.750
Zn2 0.500 0.500 0.500
Cl1 0.250 0.250 0.250
Cl2 0.000 0.000 0.000

Calculated values
**ΔE_f (raw)**: 0.148 eV per atom
**Symmetry**: Fd-3m, No. 227


A PBEsol-optimized structure of ZnCl. Source: the Alexandria database, functional meta-GGA SCAN.

abc: 3.427 3.427 8.350
angles: 90.00 90.00 120.00
Positions (direct):
Zn1 0.667 0.333 0.662
Zn2 0.333 0.667 0.162
Cl1 0.667 0.333 0.967
Cl2 0.333 0.667 0.467

Calculated values
**ΔE_f (raw)**: -0.200 eV per atom
**Symmetry**: P6_3mc, No. 186


A PBEsol-optimized structure of ZnCl. Source: the Alexandria database, functional meta-GGA SCAN.

abc: 3.578 3.578 7.015
angles: 90.00 90.00 120.00
Positions (direct):
Zn1 0.667 0.333 0.750
Zn2 0.333 0.667 0.250
Cl1 0.000 0.000 0.000
Cl2 0.000 0.000 0.500

Calculated values
**ΔE_f (raw)**: -0.204 eV per atom
**Symmetry**: P6_3/mmc, No. 194


A PBEsol-optimized structure of Zn3Cl. Source: the Alexandria database, functional meta-GGA SCAN.

abc: 4.159 4.159 4.159
angles: 90.00 90.00 90.00
Positions (direct):
Zn1 0.000 0.500 0.500
Zn2 0.500 0.000 0.500
Zn3 0.500 0.500 0.000
Cl1 0.000 0.000 0.000

Calculated values
**ΔE_f (raw)**: 0.265 eV per atom
**Symmetry**: Pm-3m, No. 221


A PBEsol-optimized structure of ZnCl. Source: the Alexandria database, functional meta-GGA SCAN.

abc: 3.293 3.293 3.293
angles: 90.00 90.00 90.00
Positions (direct):
Zn1 0.500 0.500 0.500
Cl1 0.000 0.000 0.000

Calculated values
**ΔE_f (raw)**: -0.070 eV per atom
**Symmetry**: Pm-3m, No. 221


A PBEsol-optimized structure of ZrZnCl3. Source: the Alexandria database, functional meta-GGA SCAN.

abc: 4.735 4.735 4.735
angles: 90.00 90.00 90.00
Last column: magnetic moment on the atom in μB.
Positions (direct):
Zn1 0.000 0.000 0.000  0.01
Zr1 0.500 0.500 0.500  1.75
Cl1 0.000 0.500 0.000  0.00
Cl2 0.000 0.000 0.500  0.00
Cl3 0.500 0.000 0.000  0.00

Calculated values
**ΔE_f (raw)**: -0.427 eV per atom
**Symmetry**: Pm-3m, No. 221


A PBEsol-optimized structure of ZrZn2Cl. Source: the Alexandria database, functional meta-GGA SCAN.

abc: 3.196 4.929 5.119
angles: 111.90 90.01 108.90
Positions (direct):
Zn1 0.014 0.027 0.082
Zn2 0.761 0.523 0.172
Zr1 0.502 0.004 0.610
Cl1 0.223 0.446 0.635

Calculated values
**ΔE_f (raw)**: -0.361 eV per atom
**Symmetry**: Cm, No. 8


A PBEsol-optimized structure of ZrZnCl2. Source: the Alexandria database, functional meta-GGA SCAN.

abc: 3.345 3.345 10.118
angles: 80.49 80.49 60.00
Positions (direct):
Zn1 0.500 0.500 0.500
Zr1 0.000 0.000 0.000
Cl1 0.921 0.921 0.236
Cl2 0.079 0.079 0.764

Calculated values
**ΔE_f (raw)**: -0.568 eV per atom
**Symmetry**: R-3m, No. 166


A PBEsol-optimized structure of ZrCl2. Source: the Alexandria database, functional meta-GGA SCAN.

abc: 3.154 3.154 6.536
angles: 103.96 103.96 90.00
Last column: magnetic moment on the atom in μB.
Positions (direct):
Zr1 0.000 0.000 0.000  0.34
Cl1 0.377 0.377 0.754  0.00
Cl2 0.623 0.623 0.246  0.00

Calculated values
**ΔE_f (raw)**: -1.603 eV per atom
**Symmetry**: I4/mmm, No. 139


A PBEsol-optimized structure of ZrCl4. Source: the Alexandria database, functional meta-GGA SCAN.

abc: 3.394 3.394 9.927
angles: 99.84 99.84 90.00
Last column: magnetic moment on the atom in μB.
Positions (direct):
Zr1 0.000 0.000 0.000  0.41
Cl1 0.750 0.250 0.500  0.00
Cl2 0.250 0.750 0.500  0.00
Cl3 0.577 0.577 0.153  -0.01
Cl4 0.423 0.423 0.847  -0.01

Calculated values
**ΔE_f (raw)**: -0.668 eV per atom
**Symmetry**: I4/mmm, No. 139


A PBEsol-optimized structure of Zr2Cl. Source: the Alexandria database, functional meta-GGA SCAN.

abc: 3.164 5.870 6.295
angles: 90.00 90.00 90.00
Positions (direct):
Cl1 0.000 0.000 0.000
Cl2 0.500 0.500 0.500
Zr1 0.000 0.203 0.656
Zr2 0.000 0.797 0.344
Zr3 0.500 0.703 0.844
Zr4 0.500 0.297 0.156

Calculated values
**ΔE_f (raw)**: -0.559 eV per atom
**Symmetry**: Pnnm, No. 58


A PBEsol-optimized structure of ZrCl4. Source: the Alexandria database, functional meta-GGA SCAN.

abc: 6.204 6.468 7.505
angles: 90.00 90.00 109.44
Positions (direct):
Cl1 0.001 0.777 0.105
Cl2 0.499 0.223 0.105
Cl3 0.999 0.223 0.895
Cl4 0.501 0.777 0.895
Cl5 0.981 0.253 0.359
Cl6 0.519 0.747 0.359
Cl7 0.019 0.747 0.641
Cl8 0.481 0.253 0.641
Zr1 0.750 0.000 0.161
Zr2 0.250 0.000 0.839

Calculated values
**ΔE_f (raw)**: -2.012 eV per atom
**Symmetry**: P2/c, No. 13


A PBEsol-optimized structure of ZrCl2. Source: the Alexandria database, functional meta-GGA SCAN.

abc: 7.945 7.945 7.945
angles: 107.19 107.19 107.19
Last column: magnetic moment on the atom in μB.
Positions (direct):
Cl1 0.544 0.853 0.625  0.00
Cl2 0.853 0.625 0.544  0.00
Cl3 0.625 0.544 0.853  0.00
Cl4 0.456 0.147 0.375  0.00
Cl5 0.147 0.375 0.456  0.00
Cl6 0.375 0.456 0.147  0.00
Cl7 0.685 0.229 0.079  0.01
Cl8 0.229 0.079 0.685  0.01
Cl9 0.079 0.685 0.229  0.01
Cl10 0.315 0.771 0.921  0.01
Cl11 0.771 0.921 0.315  0.01
Cl12 0.921 0.315 0.771  0.01
Zr1 0.695 0.896 0.967  0.21
Zr2 0.896 0.967 0.695  0.21
Zr3 0.967 0.695 0.896  0.21
Zr4 0.305 0.104 0.033  0.21
Zr5 0.104 0.033 0.305  0.21
Zr6 0.033 0.305 0.104  0.21

Calculated values
**ΔE_f (raw)**: -1.810 eV per atom
**Symmetry**: R-3, No. 148


A PBEsol-optimized structure of Zr3Cl2. Source: the Alexandria database, functional meta-GGA SCAN.

abc: 4.540 4.540 5.293
angles: 90.00 90.00 120.00
Positions (direct):
Cl1 0.333 0.667 0.846
Cl2 0.667 0.333 0.154
Zr1 0.000 0.000 0.000
Zr2 0.333 0.667 0.352
Zr3 0.667 0.333 0.648

Calculated values
**ΔE_f (raw)**: -0.158 eV per atom
**Symmetry**: P-3m1, No. 164


A PBEsol-optimized structure of ZrCl2. Source: the Alexandria database, functional meta-GGA SCAN.

abc: 3.356 3.356 6.903
angles: 75.92 75.92 60.01
Positions (direct):
Zr1 0.000 0.000 0.000
Cl1 0.752 0.752 0.744
Cl2 0.581 0.581 0.256

Calculated values
**ΔE_f (raw)**: -1.882 eV per atom
**Symmetry**: R3m, No. 160


A PBEsol-optimized structure of CrCo. Source: the Alexandria database, functional meta-GGA SCAN.

abc: 2.434 4.722 5.826
angles: 103.72 90.00 104.94
Last column: magnetic moment on the atom in μB.
Positions (direct):
Cr1 0.668 0.336 0.329  -0.78
Cr2 0.046 0.093 0.617  0.18
Cr3 0.730 0.459 0.947  -0.13
Co1 0.001 0.002 0.000  1.02
Co2 0.392 0.785 0.277  0.77
Co3 0.330 0.659 0.664  0.32

Calculated values
**Symmetry**: Cm, No. 8
**Energy of formation**: 243 meV/atom


A PBEsol-optimized structure of CrCo5. Source: the Alexandria database, functional meta-GGA SCAN.

abc: 2.458 4.636 5.768
angles: 103.73 90.00 105.37
Last column: magnetic moment on the atom in μB.
Positions (direct):
Cr1 0.722 0.444 0.945  -2.01
Co1 0.999 0.999 0.001  1.40
Co2 0.389 0.778 0.277  1.52
Co3 0.668 0.336 0.333  1.62
Co4 0.055 0.109 0.610  1.57
Co5 0.333 0.667 0.667  1.54

Calculated values
**Symmetry**: Cm, No. 8
**Energy of formation**: 161 meV/atom


A PBEsol-optimized structure of CrCo. Source: the Alexandria database, functional meta-GGA SCAN.

abc: 3.944 4.281 4.946
angles: 90.00 90.00 90.00
Positions (direct):
Co1 0.750 0.919 0.876
Co2 0.250 0.581 0.376
Co3 0.750 0.419 0.624
Co4 0.250 0.081 0.124
Cr1 0.750 0.906 0.378
Cr2 0.250 0.594 0.878
Cr3 0.750 0.406 0.122
Cr4 0.250 0.094 0.622

Calculated values
**Symmetry**: Pnma, No. 62
**Energy of formation**: 245 meV/atom


A PBEsol-optimized structure of CrCo. Source: the Alexandria database, functional meta-GGA SCAN.

abc: 2.436 4.323 4.671
angles: 117.31 105.11 90.00
Last column: magnetic moment on the atom in μB.
Positions (direct):
Cr1 0.622 0.961 0.244  -0.35
Cr2 0.378 0.039 0.756  -0.35
Co1 0.125 0.458 0.250  0.80
Co2 0.875 0.542 0.750  0.80

Calculated values
**Symmetry**: C2/m, No. 12
**Energy of formation**: 253 meV/atom


A PBEsol-optimized structure of CrCo5. Source: the Alexandria database, functional meta-GGA SCAN.

abc: 2.454 3.920 6.496
angles: 90.00 100.89 90.00
Last column: magnetic moment on the atom in μB.
Positions (direct):
Cr1 0.890 0.500 0.780  -1.81
Co1 0.000 0.000 0.000  1.52
Co2 0.667 0.000 0.333  1.75
Co3 0.332 0.000 0.665  1.27
Co4 0.556 0.500 0.112  1.57
Co5 0.221 0.500 0.443  1.57

Calculated values
**Symmetry**: Amm2, No. 38
**Energy of formation**: 149 meV/atom